Compound: Ca2ReTePd
Source: Alexandria
Functional: PBE-GGA
Structure: relaxed

```
Ca2ReTePd
1.0
5.787 0.000 0.000
0.000 5.787 0.000
0.000 0.000 4.943
Ca Re Te Pd
2 1 1 1
Direct
0.000 0.500 0.000 Ca
0.500 0.000 0.000 Ca
0.000 0.000 0.500 Re
0.500 0.500 0.000 Te
0.500 0.500 0.500 Pd
```

Output
DOS(E_F)   8.3 states/eV/f.u.
Magnetic moment   3.19 μB per formula unit
E   -20.81 eV/f.u.
E_form (uncorrected)   0.795 eV/atom

---

Compound: Na2Ag5HgPd2
Source: Alexandria
Functional: PBE-GGA
Structure: relaxed

```
Na2Ag5HgPd2
1.0
9.567 0.000 0.000
0.000 9.567 0.000
0.000 0.000 4.344
Na Ag Hg Pd
4 10 2 4
Direct
0.172 0.328 0.000 Na
0.328 0.828 0.000 Na
0.672 0.172 0.000 Na
0.828 0.672 0.000 Na
0.000 0.500 0.500 Ag
0.072 0.797 0.500 Ag
0.203 0.072 0.500 Ag
0.297 0.572 0.500 Ag
0.428 0.297 0.500 Ag
0.500 0.000 0.500 Ag
0.572 0.703 0.500 Ag
0.703 0.428 0.500 Ag
0.797 0.928 0.500 Ag
0.928 0.203 0.500 Ag
0.000 0.000 0.000 Hg
0.500 0.500 0.000 Hg
0.123 0.623 0.000 Pd
0.377 0.123 0.000 Pd
0.623 0.877 0.000 Pd
0.877 0.377 0.000 Pd
```

Output
DOS(E_F)   2.8 states/eV/f.u.
Magnetic moment   0.00 μB per formula unit
E   -28.02 eV/f.u.
Energy of formation from the pure elements   -0.044 eV per atom

---

Compound: DyTm2Hg6
Source: Alexandria
Functional: PBE-GGA
Structure: relaxed

```
DyTm2Hg6
1.0
-2.237 2.237 12.758
2.237 -2.237 12.758
2.237 2.237 -12.758
Dy Tm Hg
1 2 6
Direct
0.000 0.000 0.000 Dy
0.333 0.333 0.000 Tm
0.667 0.667 0.000 Tm
0.085 0.585 0.500 Hg
0.250 0.750 0.500 Hg
0.415 0.915 0.500 Hg
0.585 0.085 0.500 Hg
0.750 0.250 0.500 Hg
0.915 0.415 0.500 Hg
```

Output
DOS(E_F)   6.0 states/eV/f.u.
Magnetic moment   0.00 μB per formula unit
E   -16.64 eV/f.u.
Energy of formation from the pure elements   -0.142 eV per atom
ΔE to the lowest computed polymorph   238 meV per atom